Below is a crystal of CuSi3Cl relaxed with PBEsol, with properties calculated at the SCAN level.

Summary:
Formation energy from raw total energies: 0.83 eV/atom
Crystal system: cubic
Electronic total energy: -49.08 eV/f.u.
N(E_F): 4.284 states/eV/cell
V: 93.75 Å³/cell
Space-group type: No. 221

Cell: 4.5429 4.5429 4.5429 Å, 90.00 90.00 90.00°
Positions (direct):
Cu  0.0000  0.0000  0.0000
Si  0.0000  0.0000  0.5000
Si  0.0000  0.5000  0.0000
Si  0.5000  0.0000  0.0000
Cl  0.5000  0.5000  0.5000